# PBE HoSc2Te, optimized geometry
data_HoSc2Te
_space_group_name_H-M_alt 'R 3 m'
_space_group_IT_number 160
_space_group_name_Hall 'R 3 -2"'
_cell_length_a 3.7427
_cell_length_b 3.7427
_cell_length_c 27.3377
_cell_angle_alpha 90.00
_cell_angle_beta 90.00
_cell_angle_gamma 120.00
loop_
_atom_site_label
_atom_site_type_symbol
_atom_site_fract_x
_atom_site_fract_y
_atom_site_fract_z
Ho1 Ho 0.0000 0.0000 0.0000
Sc1 Sc 0.0000 0.0000 0.2384
Sc2 Sc 0.0000 0.0000 0.4288
Te1 Te 0.0000 0.0000 0.8339
# ΔE_f (raw) = -1.705 eV per formula unit
# total moment = 0.0 μB per formula unit